# 1
The following is a PBE-GGA calculation of a geometry-optimized NaNpI5 structure, from Alexandria.

Summary:
For the formation energy (no corrections), the calculation gives -857.4 meV/atom. The value obtained for the calculated volume is 341.26 Å³/f.u.

Cell: 7.972 7.972 12.027 Å, 109.01 109.01 86.34°
Sites, in units of the cell vectors:
Na (0.072, 0.928, 0.750)
Na (0.928, 0.072, 0.250)
Np (0.000, 0.500, 0.000)
Np (0.500, 0.000, 0.500)
I (0.199, 0.236, 0.518)
I (0.200, 0.606, 0.863)
I (0.236, 0.199, 0.018)
I (0.255, 0.745, 0.250)
I (0.394, 0.800, 0.637)
I (0.606, 0.200, 0.363)
I (0.745, 0.255, 0.750)
I (0.764, 0.801, 0.982)
I (0.800, 0.394, 0.137)
I (0.801, 0.764, 0.482)


# 2
The following is a PBE-GGA calculation of a geometry-optimized TbPuSc2Se4 structure, from Alexandria.

Summary:
For the formation energy (no corrections), the calculation gives -1633.8 meV/atom. The value obtained for the calculated volume is 180.20 Å³/f.u.

Cell: 6.921 3.970 6.939 Å, 90.00 109.05 90.00°
Sites, in units of the cell vectors:
Tb (0.000, 0.000, 0.000)
Pu (0.500, 0.500, 0.000)
Sc (0.000, 0.500, 0.500)
Sc (0.500, 0.000, 0.500)
Se (0.242, 0.000, 0.731)
Se (0.254, 0.500, 0.268)
Se (0.746, 0.500, 0.732)
Se (0.758, 0.000, 0.269)


# 3
The following is a PBE-GGA calculation of a geometry-optimized LuNiP structure, from Alexandria.

Summary:
The value obtained for the calculated volume is 48.42 Å³/f.u. For the energy of formation, the calculation gives -3.6 eV per formula unit.

Cell: 3.843 3.843 7.571 Å, 90.00 90.00 120.00°
Sites, in units of the cell vectors:
Lu (0.000, 0.000, 0.000)
Lu (0.000, 0.000, 0.500)
Ni (0.333, 0.667, 0.250)
Ni (0.667, 0.333, 0.750)
P (0.333, 0.667, 0.750)
P (0.667, 0.333, 0.250)


# 4
The following is a PBE-GGA calculation of a geometry-optimized IrSeI structure, from Alexandria.

Summary:
For the formation energy (no corrections), the calculation gives -171.2 meV/atom. The value obtained for the calculated volume is 86.59 Å³/f.u.

Cell: 3.863 4.927 9.098 Å, 90.00 90.00 90.00°
Sites, in units of the cell vectors:
Ir (0.250, 0.250, 0.121)
Ir (0.750, 0.750, 0.879)
Se (0.250, 0.750, 0.054)
Se (0.750, 0.250, 0.946)
I (0.250, 0.750, 0.671)
I (0.750, 0.250, 0.329)


# 5
The following is a PBE-GGA calculation of a geometry-optimized TiMnCr structure, from Alexandria.

Summary:
The calculation puts the relative energy among the computed polymorphs at 171 meV per atom. The value obtained for the calculated volume is 37.99 Å³/f.u. For the energy of formation, the calculation gives -0.1 eV per formula unit.

Cell: 4.050 4.050 2.674 Å, 90.00 90.00 120.00°
Sites, in units of the cell vectors:
Ti (0.000, 0.000, 0.000)
Mn (0.333, 0.667, 0.657)
Cr (0.667, 0.333, 0.356)


# 6
The following is a PBE-GGA calculation of a geometry-optimized K2AsAu structure, from Alexandria.

Summary:
The value obtained for the calculated volume is 142.41 Å³/f.u. For the energy of formation, the calculation gives -0.4 eV per formula unit.

Cell: 3.802 3.802 9.853 Å, 90.00 90.00 90.00°
Sites, in units of the cell vectors:
K (0.000, 0.000, 0.000)
K (0.500, 0.500, 0.413)
As (0.000, 0.000, 0.678)
Au (0.500, 0.500, 0.729)


# 7
The following is a PBE-GGA calculation of a geometry-optimized NaNdGd structure, from Alexandria.

Summary:
The calculation puts the relative energy among the computed polymorphs at 0 meV per atom. The value obtained for the calculated volume is 104.54 Å³/f.u. For the energy of formation, the calculation gives 0.3 eV per formula unit.

Cell: 3.608 3.608 9.274 Å, 90.00 90.00 120.00°
Sites, in units of the cell vectors:
Na (0.000, 0.000, 0.000)
Nd (0.333, 0.667, 0.649)
Gd (0.667, 0.333, 0.345)


# 8
The following is a PBE-GGA calculation of a geometry-optimized Y2NpPd9 structure, from Alexandria.

Summary:
The value obtained for the calculated volume is 211.55 Å³/f.u. For the energy of formation, the calculation gives -8.7 eV per formula unit.

Cell: 4.129 4.129 12.406 Å, 90.00 90.00 90.00°
Sites, in units of the cell vectors:
Y (0.000, 0.000, 0.164)
Y (0.000, 0.000, 0.836)
Np (0.000, 0.000, 0.500)
Pd (0.000, 0.500, 0.000)
Pd (0.000, 0.500, 0.338)
Pd (0.000, 0.500, 0.662)
Pd (0.500, 0.000, 0.000)
Pd (0.500, 0.000, 0.338)
Pd (0.500, 0.000, 0.662)
Pd (0.500, 0.500, 0.168)
Pd (0.500, 0.500, 0.500)
Pd (0.500, 0.500, 0.832)


# 9
The following is a PBE-GGA calculation of a geometry-optimized AsIrCl2 structure, from Alexandria.

Summary:
The calculation puts the relative energy among the computed polymorphs at 0 meV per atom. For the formation energy (no corrections), the calculation gives -470.1 meV/atom. The value obtained for the calculated volume is 98.75 Å³/f.u.

Cell: 6.426 3.712 8.281 Å, 90.00 90.20 90.00°
Sites, in units of the cell vectors:
As (0.000, 0.000, 0.000)
As (0.500, 0.500, 0.000)
Ir (0.334, 0.000, 0.128)
Ir (0.834, 0.500, 0.128)
Cl (0.168, 0.500, 0.306)
Cl (0.499, 0.500, 0.737)
Cl (0.668, 0.000, 0.306)
Cl (0.999, 0.000, 0.737)


# 10
The following is a PBE-GGA calculation of a geometry-optimized CaMnCo2Mo structure, from Alexandria.

Summary:
The value obtained for the calculated volume is 87.48 Å³/f.u. For the energy of formation, the calculation gives 4.0 eV per formula unit.

Cell: 4.469 4.469 4.379 Å, 90.00 90.00 90.00°
Sites, in units of the cell vectors:
Ca (0.000, 0.000, 0.000)
Mn (0.500, 0.500, 0.500)
Co (0.000, 0.500, 0.500)
Co (0.500, 0.000, 0.500)
Mo (0.500, 0.500, 0.000)


# 11
The following is a PBE-GGA calculation of a geometry-optimized CdHRh3 structure, from Alexandria.

Summary:
The calculation puts the relative energy among the computed polymorphs at 37 meV per atom. The value obtained for the calculated volume is 64.42 Å³/f.u.

Cell: 4.897 4.944 5.688 Å, 72.00 89.52 80.02°
Sites, in units of the cell vectors:
Cd (0.246, 0.493, 0.124)
Cd (0.754, 0.507, 0.876)
H (0.437, 0.771, 0.319)
H (0.563, 0.229, 0.681)
Rh (0.008, 0.012, 0.739)
Rh (0.244, 0.506, 0.618)
Rh (0.500, 0.000, 0.000)
Rh (0.500, 0.000, 0.500)
Rh (0.756, 0.494, 0.382)
Rh (0.992, 0.988, 0.261)


# 12
The following is a PBE-GGA calculation of a geometry-optimized Pr2PaN3 structure, from Alexandria.

Summary:
The calculation puts the relative energy among the computed polymorphs at 0 meV per atom. For the formation energy (no corrections), the calculation gives -1511.9 meV/atom. The value obtained for the calculated volume is 100.48 Å³/f.u.

Cell: 11.962 11.404 6.276 Å, 79.39 69.56 31.05°
Sites, in units of the cell vectors:
Pr (0.043, 0.043, 0.207)
Pr (0.123, 0.123, 0.627)
Pr (0.207, 0.207, 0.043)
Pr (0.373, 0.373, 0.877)
Pr (0.627, 0.627, 0.123)
Pr (0.793, 0.793, 0.957)
Pr (0.877, 0.877, 0.373)
Pr (0.957, 0.957, 0.793)
Pa (0.291, 0.291, 0.459)
Pa (0.459, 0.459, 0.291)
Pa (0.541, 0.541, 0.709)
Pa (0.709, 0.709, 0.541)
N (0.036, 0.535, 0.248)
N (0.162, 0.588, 0.588)
N (0.248, 0.681, 0.036)
N (0.319, 0.752, 0.465)
N (0.412, 0.838, 0.838)
N (0.465, 0.964, 0.319)
N (0.535, 0.036, 0.681)
N (0.588, 0.162, 0.162)
N (0.681, 0.248, 0.535)
N (0.752, 0.319, 0.964)
N (0.838, 0.412, 0.412)
N (0.964, 0.465, 0.752)